4
Lattice="3.6327 0.0000 0.0000 0.0000 4.3228 0.0000 -1.8124 0.0000 5.3151" Properties=species:S:1:pos:R:3 comment="OsPtPb2 (PBE, optimized geometry)" e_above_lowest_polymorph_ev_per_atom=0.039 sg="Pm, No. 6" ef_mev_per_atom=431 pbc="T T T"
Os 0.0000 0.0000 0.0000
Pt 1.8158 2.1614 3.6924
Pb -0.0035 0.0000 2.9192
Pb 1.8156 2.1614 0.7951